Material: Co14NiGe
Method: DFT, PBE
State: relaxed

Summary:
Energy of formation, eV/atom: -0.0210

Geometry as CIF:
```
data_Co14NiGe
_symmetry_space_group_name_H-M 'P 1'
_symmetry_Int_Tables_number 1
_symmetry_space_group_name_Hall 'P 1'
_cell_length_a 5.006
_cell_length_b 5.006
_cell_length_c 8.125
_cell_angle_alpha 90.00
_cell_angle_beta 90.00
_cell_angle_gamma 119.88
loop_
_atom_site_label
_atom_site_type_symbol
_atom_site_fract_x
_atom_site_fract_y
_atom_site_fract_z
Co1 Co 0.873 0.127 0.247
Co2 Co 0.045 0.461 0.500
Co3 Co 0.381 0.128 0.755
Co4 Co 0.872 0.619 0.245
Co5 Co 0.381 0.128 0.245
Co6 Co 0.375 0.625 0.248
Co7 Co 0.206 0.291 0.000
Co8 Co 0.709 0.794 0.000
Co9 Co 0.539 0.955 0.500
Co10 Co 0.873 0.127 0.753
Co11 Co 0.708 0.292 0.000
Co12 Co 0.872 0.619 0.755
Ge1 Ge 0.042 0.958 0.500
Co13 Co 0.375 0.625 0.752
Ni1 Ni 0.541 0.459 0.500
Co14 Co 0.207 0.793 0.000
```